[1]
The following is a GGA-PBE calculation of SrZrSCl2 after structural relaxation, from Alexandria.

Cell lengths 5.314, 5.314, 5.773 Å; angles 90.00, 90.00, 90.00 degrees
Space group P4/mmm (No. 123)
Inequivalent atoms, fractional coordinates:
Sr1 0.000 0.000 0.000
Zr1 0.500 0.500 0.500
S1 0.000 0.000 0.500
Cl1 0.000 0.500 0.000

Summary:
DOS(E_F)	1.07	states/eV/cell
ΔE to the lowest computed polymorph	0.853	eV per atom
crystal system	tetragonal



[2]
The following is a GGA-PBE calculation of MnTl2Sb after structural relaxation, from Alexandria.

Cell lengths 3.3990, 3.3990, 30.2176 Å; angles 90.00, 90.00, 120.00 degrees
Space group R-3m (No. 166, hexagonal axes)
Inequivalent atoms, fractional coordinates:
Mn1 0.0000 0.0000 0.0000
Tl1 0.0000 0.0000 0.2586
Sb1 0.0000 0.0000 0.5000

Summary:
DOS(E_F)	8.47	states/eV/cell
ΔE to the lowest computed polymorph	0.246	eV per atom
crystal system	trigonal



[3]
The following is a GGA-PBE calculation of Tm2AgHg after structural relaxation, from Alexandria.

Cell lengths 3.6988, 3.6988, 26.4304 Å; angles 90.00, 90.00, 120.00 degrees
Space group R-3m (No. 166, hexagonal axes)
Inequivalent atoms, fractional coordinates:
Tm1 0.0000 0.0000 0.2470
Ag1 0.0000 0.0000 0.5000
Hg1 0.0000 0.0000 0.0000

Summary:
energy of formation	-0.212	eV per atom
DOS(E_F)	12.92	states/eV/cell
ΔE to the lowest computed polymorph	0.202	eV per atom
crystal system	trigonal



[4]
The following is a GGA-PBE calculation of UNb5Tc6 after structural relaxation, from Alexandria.

Cell lengths 4.553, 13.652, 6.443 Å; angles 90.00, 90.00, 90.00 degrees
Space group Cmmm (No. 65)
Inequivalent atoms, fractional coordinates:
U1 0.000 0.000 0.000
Nb1 0.000 0.000 0.500
Nb2 0.000 0.329 0.000
Nb3 0.000 0.331 0.500
Tc1 0.000 0.167 0.250
Tc2 0.000 0.500 0.248

Summary:
energy of formation	-0.260	eV per atom
DOS(E_F)	17.10	states/eV/cell
crystal system	orthorhombic



[5]
The following is a GGA-PBE calculation of SmPa2Se5 after structural relaxation, from Alexandria.

Cell lengths 7.659, 7.659, 13.408 Å; angles 90.00, 90.00, 90.00 degrees
Space group I4/mcm (No. 140)
Inequivalent atoms, fractional coordinates:
Sm1 0.000 0.000 0.250
Pa1 0.148 0.352 0.000
Se1 0.000 0.000 0.000
Se2 0.159 0.341 0.353

Summary:
DOS(E_F)	33.21	states/eV/cell
ΔE to the lowest computed polymorph	0.019	eV per atom
crystal system	tetragonal



[6]
The following is a GGA-PBE calculation of MnAlOs2 after structural relaxation, from Alexandria.

Cell lengths 2.832, 4.590, 8.675 Å; angles 90.00, 90.00, 90.00 degrees
Space group Cmm2 (No. 35)
Inequivalent atoms, fractional coordinates:
Mn1 0.000 0.000 0.000
Al1 0.000 0.500 0.241
Os1 0.000 0.000 0.487
Os2 0.000 0.500 0.755

Summary:
energy of formation	0.241	eV per atom
DOS(E_F)	10.08	states/eV/cell
crystal system	orthorhombic



[7]
The following is a GGA-PBE calculation of Y2Pa2Pt15 after structural relaxation, from Alexandria.

Cell lengths 9.2921, 9.2921, 14.0633 Å; angles 90.00, 90.00, 120.00 degrees
Space group R-3m (No. 166, hexagonal axes)
Inequivalent atoms, fractional coordinates:
Y1 0.0000 0.0000 0.1370
Pa1 0.0000 0.0000 0.3986
Pt1 0.0000 0.3141 0.5000
Pt2 0.0000 0.5000 0.0000
Pt3 0.0032 0.5016 0.6567

Summary:
energy of formation	-0.678	eV per atom
DOS(E_F)	51.52	states/eV/cell
crystal system	trigonal



[8]
The following is a GGA-PBE calculation of ZrTaBr after structural relaxation, from Alexandria.

Cell lengths 4.8190, 4.8190, 3.0300 Å; angles 90.00, 90.00, 120.00 degrees
Space group P3m1 (No. 156)
Inequivalent atoms, fractional coordinates:
Zr1 0.0000 0.0000 0.0000
Ta1 0.6667 0.3333 0.5020
Br1 0.3333 0.6667 0.5021

Summary:
DOS(E_F)	3.35	states/eV/cell
ΔE to the lowest computed polymorph	0.277	eV per atom
crystal system	trigonal